<i>
## DyHoBrNCl2 (PBE-GGA)

Data for DyHoBrNCl2 after structural relaxation.

```
data_DyHoBrNCl2
_cell_length_a 17.7213
_cell_length_b 3.8241
_cell_length_c 11.2016
_cell_angle_alpha 90.00
_cell_angle_beta 124.99
_cell_angle_gamma 90.00
_space_group_name_H-M_alt 'C 1 2/m 1'
_space_group_IT_number 12
loop_
_space_group_symop_operation_xyz
'x,y,z'
'-x,-y,-z'
'-x,y,-z'
'x,-y,z'
'x+1/2,y+1/2,z'
'-x+1/2,-y+1/2,-z'
'-x+1/2,y+1/2,-z'
'x+1/2,-y+1/2,z'
loop_
_atom_site_label
_atom_site_type_symbol
_atom_site_fract_x
_atom_site_fract_y
_atom_site_fract_z
Dy1 Dy 0.1372 0.0000 0.2929
Ho1 Ho 0.0777 0.5000 0.9617
Br1 Br 0.0412 0.0000 0.7411
N1 N 0.0746 0.5000 0.1576
Cl1 Cl 0.1736 0.5000 0.5127
Cl2 Cl 0.2079 0.0000 0.1176
```



<ii>
## DyHoBrNCl2 (PBE-GGA)

Data for DyHoBrNCl2 after structural relaxation.

```
data_DyHoBrNCl2
_cell_length_a 16.9824
_cell_length_b 3.8352
_cell_length_c 11.0152
_cell_angle_alpha 90.00
_cell_angle_beta 122.43
_cell_angle_gamma 90.00
_space_group_name_H-M_alt 'C 1 2/m 1'
_space_group_IT_number 12
loop_
_space_group_symop_operation_xyz
'x,y,z'
'-x,-y,-z'
'-x,y,-z'
'x,-y,z'
'x+1/2,y+1/2,z'
'-x+1/2,-y+1/2,-z'
'-x+1/2,y+1/2,-z'
'x+1/2,-y+1/2,z'
loop_
_atom_site_label
_atom_site_type_symbol
_atom_site_fract_x
_atom_site_fract_y
_atom_site_fract_z
Dy1 Dy 0.1350 0.0000 0.2852
Ho1 Ho 0.0796 0.5000 0.9564
Br1 Br 0.1624 0.5000 0.5171
N1 N 0.0748 0.5000 0.1538
Cl1 Cl 0.0431 0.0000 0.7569
Cl2 Cl 0.2112 0.0000 0.1077
```



Stability verdict: <ii>, ahead by 0.005 eV/atom